{"formula": "La2NbCrPd", "functional": "PBE", "state": "relaxed", "cell": [[-5.176, -1.487, 1.306], [1.649, -2.393, 3.812], [-0.531, 4.565, 3.096]], "species": ["La", "Pd", "Nb", "La", "Cr"], "fractional_positions": [[0.000, 0.000, 0.500], [0.000, 0.500, 0.000], [0.000, 0.000, 0.000], [0.500, 0.000, 0.000], [0.500, 0.500, 0.500]]}

=====

{"formula": "LaNbCr2Re", "functional": "PBE", "state": "relaxed", "cell": [[-3.868, -2.129, 0.498], [2.342, -3.475, 3.335], [-1.003, 2.627, 3.440]], "species": ["Nb", "Cr", "Cr", "La", "Re"], "fractional_positions": [[0.000, 0.000, 0.000], [0.000, 0.000, 0.500], [0.500, 0.000, 0.000], [0.000, 0.500, 0.000], [0.500, 0.500, 0.500]]}

=====

Number 1: mass density 5969 kg/m³, energy relative to the elements 1.19 eV/atom. Number 2: mass density 8198 kg/m³, energy relative to the elements 2.00 eV/atom.